This record from Alexandria via LeMat-Bulk describes Ac3CePt8 after structural relaxation. The functional is GGA-PBE.

Its formation energy from the elements is -1010 meV/atom. Its total DFT energy (no corrections) is -6.559 eV per atom. The density of states at the Fermi level comes out at 8.934 states/eV/f.u.

The space group is R3m (No. 160, hexagonal axes) and the conventional cell measures 5.6215, 5.6215 and 27.5563 Å, with angles of 90.00, 90.00 and 120.00 degrees. The distinct sites, in fractional coordinates, are Ac at (0.0000, 0.0000, 0.0000), Ac at (0.0000, 0.0000, 0.1260), Ac at (0.0000, 0.0000, 0.6219), Ce at (0.0000, 0.0000, 0.4979), Pt at (0.0000, 0.0000, 0.3118), Pt at (0.0000, 0.0000, 0.8120), Pt at (0.9999, 0.5000, 0.5607) and Pt at (0.0011, 0.5005, 0.0629).



This record from Alexandria via LeMat-Bulk describes AcCe2Pt after structural relaxation. The functional is GGA-PBE.

Its formation energy from the elements is -435 meV/atom. Its total DFT energy (no corrections) is -5.939 eV per atom. The density of states at the Fermi level comes out at 10.274 states/eV/f.u. The value obtained for the polymorph energy (0 for the lowest one) is 0.0000 eV/atom.

The space group is P4/mmm (No. 123) and the conventional cell measures 3.748, 3.748 and 8.348 Å, with angles of 90.00, 90.00 and 90.00 degrees. The distinct sites, in fractional coordinates, are Ac at (0.000, 0.000, 0.000), Ce at (0.500, 0.500, 0.319) and Pt at (0.000, 0.000, 0.500).



This record from Alexandria via LeMat-Bulk describes AcCeRuPt after structural relaxation. The functional is GGA-PBE.

Its formation energy from the elements is -494 meV/atom. Its total DFT energy (no corrections) is -6.834 eV per atom. The density of states at the Fermi level comes out at 4.514 states/eV/f.u.

The space group is F-43m (No. 216) and the conventional cell measures 7.243, 7.243 and 7.243 Å, with angles of 90.00, 90.00 and 90.00 degrees. The distinct sites, in fractional coordinates, are Ac at (0.000, 0.000, 0.000), Ce at (0.000, 0.000, 0.500), Ru at (0.250, 0.250, 0.750) and Pt at (0.250, 0.250, 0.250).



This record from Alexandria via LeMat-Bulk describes AcCeSb2Pt2 after structural relaxation. The functional is GGA-PBE.

Its total DFT energy (no corrections) is -6.165 eV per atom. The density of states at the Fermi level comes out at 6.940 states/eV/f.u.

The space group is P-3m1 (No. 164) and the conventional cell measures 4.6121, 4.6121 and 8.4483 Å, with angles of 90.00, 90.00 and 120.00 degrees. The distinct sites, in fractional coordinates, are Ac at (0.0000, 0.0000, 0.0000), Ce at (0.0000, 0.0000, 0.5000), Sb at (0.3333, 0.6667, 0.7434) and Pt at (0.3333, 0.6667, 0.2805).